Entry 1:
VASP calculation (GGA-PBE) on a relaxed structure of Nb4TlCdC2.

POSCAR file:
```
Nb4TlCdC2
1.0
3.215 0.000 0.000
-1.607 2.784 0.000
0.000 0.000 14.537
C Cd Nb Tl
2 1 4 1
Direct
0.000 0.000 0.752
0.000 0.000 0.248
0.333 0.667 0.000
0.333 0.667 0.330
0.333 0.667 0.670
0.667 0.333 0.169
0.667 0.333 0.831
0.667 0.333 0.500
```

Properties
* VASP energy: -64.55 eV/cell
* ρ: 9.1 g/cm3

---

Entry 2:
VASP calculation (GGA-PBE) on a relaxed structure of Nb2Cd3W4C3.

POSCAR file:
```
Nb2Cd3W4C3
1.0
5.399 0.000 0.000
-2.698 4.677 0.000
-2.661 -1.582 14.408
Cd W C Nb
6 8 6 4
Direct
0.474 0.583 0.250
0.833 0.223 0.250
0.807 0.057 0.750
0.167 0.777 0.750
0.526 0.417 0.750
0.193 0.943 0.250
0.281 0.308 0.423
0.383 0.024 0.577
0.617 0.976 0.423
0.053 0.194 0.077
0.719 0.692 0.577
0.615 0.142 0.923
0.947 0.806 0.923
0.385 0.858 0.077
0.000 0.000 0.500
0.335 0.667 0.500
0.665 0.333 0.500
0.667 0.835 0.000
0.333 0.165 0.000
0.000 0.500 0.000
0.057 0.363 0.586
0.943 0.637 0.414
0.277 0.471 0.914
0.723 0.529 0.086
```

Properties
* VASP energy: -204.30 eV/cell
* ρ: 11.8 g/cm3

---

Entry 3:
VASP calculation (GGA-PBE) on a relaxed structure of Y2Nb4Cd3C3.

POSCAR file:
```
Y2Nb4Cd3C3
1.0
4.991 -2.883 0.000
4.991 2.883 0.000
-3.402 0.000 14.630
Nb Cd Y C
8 6 4 6
Direct
0.847 0.691 0.573
0.691 0.847 0.073
0.309 0.153 0.927
0.796 0.988 0.427
0.153 0.309 0.427
0.012 0.204 0.073
0.988 0.796 0.927
0.204 0.012 0.573
0.101 0.413 0.748
0.587 0.899 0.752
0.413 0.101 0.248
0.931 0.069 0.250
0.899 0.587 0.252
0.069 0.931 0.750
0.537 0.379 0.609
0.463 0.621 0.391
0.379 0.537 0.109
0.621 0.463 0.891
0.500 0.000 0.500
0.674 0.152 0.000
0.152 0.674 0.500
0.848 0.326 0.500
0.000 0.500 0.000
0.326 0.848 0.000
```

Properties
* VASP energy: -177.19 eV/cell
* ρ: 7.3 g/cm3